(1)
Below is an optimized crystal structure of TmBiSb, with properties calculated at the PBE-GGA level.

The structure in POSCAR format:
```
TmBiSb
1.0
5.0911 0.0000 0.0000
-2.5455 4.4090 0.0000
0.0000 0.0000 4.0876
Tm Bi Sb
1 1 1
direct
0.0000 0.0000 0.0000 Tm
0.3333 0.6667 0.5000 Bi
0.6667 0.3333 0.0000 Sb
```

Uncorrected formation energy in eV per atom: -0.23
Relative energy among the computed polymorphs in eV per atom: 0.000

***

(2)
Below is an optimized crystal structure of La6Pr2Sn, with properties calculated at the PBE-GGA level.

The structure in POSCAR format:
```
La6Pr2Sn
1.0
10.6034 -4.6484 0.0000
10.6034 4.6484 0.0000
-2.1106 0.0000 6.3508
La Pr Sn
12 4 2
direct
0.0045 0.1479 0.4389 La
0.0840 0.5835 0.0838 La
0.1479 0.0045 0.9389 La
0.3510 0.4964 0.7854 La
0.4165 0.9160 0.4162 La
0.4964 0.3510 0.2854 La
0.5036 0.6490 0.7146 La
0.5835 0.0840 0.5838 La
0.6490 0.5036 0.2146 La
0.8521 0.9955 0.0611 La
0.9160 0.4165 0.9162 La
0.9955 0.8521 0.5611 La
0.1736 0.3260 0.4020 Pr
0.3260 0.1736 0.9020 Pr
0.6740 0.8264 0.0980 Pr
0.8264 0.6740 0.5980 Pr
0.2506 0.7494 0.2500 Sn
0.7494 0.2506 0.7500 Sn
```

Energy of formation in eV/f.u.: -1.31